Entry 1:
The following is a PBE calculation of ScGe2I2 after structural relaxation, from Alexandria via LeMat-Bulk. Values from VASP.

```
&SYSTEM
  ibrav = 0, nat = 10, ntyp = 3
/
ATOMIC_SPECIES
Ge 72.64 Ge.upf
I 126.90 I.upf
Sc 44.96 Sc.upf
ATOMIC_POSITIONS crystal
Ge 0.627 0.873 0.500
Ge 0.373 0.127 0.500
I 0.829 0.671 0.000
Ge 0.873 0.373 0.500
Sc 0.000 0.000 0.000
I 0.329 0.829 0.000
I 0.171 0.329 0.000
Ge 0.127 0.627 0.500
I 0.671 0.171 0.000
Sc 0.500 0.500 0.000
CELL_PARAMETERS angstrom
7.681 0.000 0.000
0.000 7.681 0.000
0.000 0.000 4.879
```

Theoretical density: 5.1 g cm⁻³
Magnetic moment: 0.0 μB/f.u.
Total DFT energy (no corrections): -3.51 eV per atom
Raw formation energy: 0.22 eV/atom

Entry 2:
The following is a PBE calculation of ScGe2I8 after structural relaxation, from Alexandria via LeMat-Bulk. Values from VASP.

```
&SYSTEM
  ibrav = 0, nat = 11, ntyp = 3
/
ATOMIC_SPECIES
Ge 72.64 Ge.upf
I 126.90 I.upf
Sc 44.96 Sc.upf
ATOMIC_POSITIONS crystal
Ge 0.638 0.183 0.183
I 0.182 0.619 0.619
I 0.740 0.795 0.795
Ge 0.362 0.817 0.817
I 0.260 0.205 0.205
I 0.205 0.744 0.097
I 0.795 0.903 0.256
Sc 0.000 0.000 0.000
I 0.795 0.256 0.903
I 0.818 0.381 0.381
I 0.205 0.097 0.744
CELL_PARAMETERS angstrom
-6.035 4.500 -0.135
-1.622 -4.367 7.360
5.219 4.740 5.115
```

Theoretical density: 3.6 g cm⁻³
Magnetic moment: 0.0 μB/f.u.
Total DFT energy (no corrections): -3.09 eV per atom
Raw formation energy: -0.55 eV/atom

Entry 3:
The following is a PBE calculation of ScGeI3 after structural relaxation, from Alexandria via LeMat-Bulk. Values from VASP.

```
&SYSTEM
  ibrav = 0, nat = 5, ntyp = 3
/
ATOMIC_SPECIES
Ge 72.64 Ge.upf
Sc 44.96 Sc.upf
I 126.90 I.upf
ATOMIC_POSITIONS crystal
Ge 0.500 0.500 0.500
Sc 0.000 0.000 0.000
I 0.000 0.000 0.500
I 0.000 0.500 0.000
I 0.500 0.000 0.000
CELL_PARAMETERS angstrom
-2.195 2.351 4.764
-4.287 -3.828 -0.086
3.137 -3.586 3.215
```

Theoretical density: 4.4 g cm⁻³
Magnetic moment: 2.0 μB/f.u.
Total DFT energy (no corrections): -3.34 eV per atom
Raw formation energy: -0.22 eV/atom

Entry 4:
The following is a PBE calculation of ScGe2I2 after structural relaxation, from Alexandria via LeMat-Bulk. Values from VASP.

```
&SYSTEM
  ibrav = 0, nat = 5, ntyp = 3
/
ATOMIC_SPECIES
Ge 72.64 Ge.upf
Sc 44.96 Sc.upf
I 126.90 I.upf
ATOMIC_POSITIONS crystal
Ge 0.250 0.750 0.500
Sc 0.000 0.000 0.000
Ge 0.750 0.250 0.500
I 0.427 0.427 0.146
I 0.573 0.573 0.854
CELL_PARAMETERS angstrom
-3.162 -1.734 -0.597
0.878 -2.477 2.540
-6.542 4.786 9.558
```

Theoretical density: 4.5 g cm⁻³
Magnetic moment: 0.0 μB/f.u.
Total DFT energy (no corrections): -3.99 eV per atom
Raw formation energy: -0.26 eV/atom

Entry 5:
The following is a PBE calculation of ScGeI3 after structural relaxation, from Alexandria via LeMat-Bulk. Values from VASP.

```
&SYSTEM
  ibrav = 0, nat = 5, ntyp = 3
/
ATOMIC_SPECIES
Ge 72.64 Ge.upf
I 126.90 I.upf
Sc 44.96 Sc.upf
ATOMIC_POSITIONS crystal
Ge 0.000 0.000 0.000
I 0.000 0.000 0.500
I 0.000 0.500 0.000
I 0.500 0.000 0.000
Sc 0.500 0.500 0.500
CELL_PARAMETERS angstrom
5.761 0.000 0.000
0.000 5.761 0.000
0.000 0.000 5.761
```

Theoretical density: 4.3 g cm⁻³
Magnetic moment: 2.0 μB/f.u.
Total DFT energy (no corrections): -2.96 eV per atom
Raw formation energy: 0.16 eV/atom

Entry 6:
The following is a PBE calculation of Sc2GeI3 after structural relaxation, from Alexandria via LeMat-Bulk. Values from VASP.

```
&SYSTEM
  ibrav = 0, nat = 12, ntyp = 3
/
ATOMIC_SPECIES
Sc 44.96 Sc.upf
I 126.90 I.upf
Ge 72.64 Ge.upf
ATOMIC_POSITIONS crystal
Sc 0.877 0.436 0.810
I 0.965 0.819 0.252
Ge 0.563 0.498 0.375
I 0.314 0.348 0.025
Sc 0.406 0.725 0.464
Sc 0.594 0.275 0.536
I 0.766 0.836 0.631
Ge 0.437 0.502 0.625
I 0.686 0.652 0.975
Sc 0.123 0.564 0.190
I 0.035 0.181 0.748
I 0.234 0.164 0.369
CELL_PARAMETERS angstrom
-3.018 -0.134 -2.527
-0.814 -11.170 -1.507
-7.777 -1.316 6.288
```

Theoretical density: 4.2 g cm⁻³
Magnetic moment: 0.0 μB/f.u.
Total DFT energy (no corrections): -4.56 eV per atom
Raw formation energy: -0.90 eV/atom

Entry 7:
The following is a PBE calculation of Sc4GeI5 after structural relaxation, from Alexandria via LeMat-Bulk. Values from VASP.

```
&SYSTEM
  ibrav = 0, nat = 10, ntyp = 3
/
ATOMIC_SPECIES
I 126.90 I.upf
Sc 44.96 Sc.upf
Ge 72.64 Ge.upf
ATOMIC_POSITIONS crystal
I 0.170 0.833 0.339
Sc 0.357 0.927 0.714
I 0.836 0.668 0.671
I 0.164 0.332 0.329
Sc 0.000 0.793 0.999
Sc 0.643 0.073 0.286
Ge 0.500 0.000 0.000
Sc 0.000 0.207 0.001
I 0.830 0.167 0.661
I 0.500 0.500 0.000
CELL_PARAMETERS angstrom
4.035 0.000 0.000
0.000 8.402 -0.397
-2.018 -1.591 9.100
```

Theoretical density: 4.8 g cm⁻³
Magnetic moment: 0.0 μB/f.u.
Total DFT energy (no corrections): -4.82 eV per atom
Raw formation energy: -1.05 eV/atom

Entry 8:
The following is a PBE calculation of ScSnGeI2 after structural relaxation, from Alexandria via LeMat-Bulk. Values from VASP.

```
&SYSTEM
  ibrav = 0, nat = 5, ntyp = 4
/
ATOMIC_SPECIES
I 126.90 I.upf
Sc 44.96 Sc.upf
Ge 72.64 Ge.upf
Sn 118.71 Sn.upf
ATOMIC_POSITIONS crystal
I 0.000 0.000 0.500
Sc 0.500 0.500 0.500
I 0.500 0.000 0.000
Ge 0.000 0.500 0.000
Sn 0.000 0.000 0.000
CELL_PARAMETERS angstrom
5.955 0.000 0.000
0.000 5.363 0.000
0.000 0.000 5.955
```

Theoretical density: 4.3 g cm⁻³
Magnetic moment: 0.9 μB/f.u.
Total DFT energy (no corrections): -3.09 eV per atom
Raw formation energy: 0.52 eV/atom

Entry 9:
The following is a PBE calculation of ScGeTe2I after structural relaxation, from Alexandria via LeMat-Bulk. Values from VASP.

```
&SYSTEM
  ibrav = 0, nat = 5, ntyp = 4
/
ATOMIC_SPECIES
Sc 44.96 Sc.upf
I 126.90 I.upf
Ge 72.64 Ge.upf
Te 127.60 Te.upf
ATOMIC_POSITIONS crystal
Sc 0.000 0.000 0.000
I 0.000 0.000 0.500
Ge 0.500 0.500 0.500
Te 0.000 0.500 0.000
Te 0.500 0.000 0.000
CELL_PARAMETERS angstrom
-5.058 -0.402 -2.439
-1.587 -3.731 3.906
-1.857 4.113 3.175
```

Theoretical density: 4.7 g cm⁻³
Magnetic moment: 0.3 μB/f.u.
Total DFT energy (no corrections): -3.86 eV per atom
Raw formation energy: -0.10 eV/atom

Entry 10:
The following is a PBE calculation of ScGeTe2I after structural relaxation, from Alexandria via LeMat-Bulk. Values from VASP.

```
&SYSTEM
  ibrav = 0, nat = 5, ntyp = 4
/
ATOMIC_SPECIES
Te 127.60 Te.upf
I 126.90 I.upf
Sc 44.96 Sc.upf
Ge 72.64 Ge.upf
ATOMIC_POSITIONS crystal
Te 0.000 0.500 0.000
I 0.000 0.000 0.500
Te 0.500 0.000 0.000
Sc 0.500 0.500 0.500
Ge 0.000 0.000 0.000
CELL_PARAMETERS angstrom
-2.309 1.783 -4.627
0.592 -4.968 -2.210
-4.904 -1.428 1.896
```

Theoretical density: 5.1 g cm⁻³
Magnetic moment: 0.6 μB/f.u.
Total DFT energy (no corrections): -3.60 eV per atom
Raw formation energy: 0.16 eV/atom

Entry 11:
The following is a PBE calculation of GeSe2I after structural relaxation, from Alexandria via LeMat-Bulk. Values from VASP.

```
&SYSTEM
  ibrav = 0, nat = 4, ntyp = 3
/
ATOMIC_SPECIES
Se 78.96 Se.upf
Ge 72.64 Ge.upf
I 126.90 I.upf
ATOMIC_POSITIONS crystal
Se 0.890 0.890 0.890
Ge 0.500 0.500 0.500
I 0.000 0.000 0.000
Se 0.110 0.110 0.110
CELL_PARAMETERS angstrom
-5.882 5.106 3.841
-5.565 1.968 6.371
-2.860 4.969 6.523
```

Theoretical density: 5.0 g cm⁻³
Magnetic moment: 0.0 μB/f.u.
Total DFT energy (no corrections): -3.27 eV per atom
Raw formation energy: 0.01 eV/atom

Entry 12:
The following is a PBE calculation of Ge6Se8I after structural relaxation, from Alexandria via LeMat-Bulk. Values from VASP.

```
&SYSTEM
  ibrav = 0, nat = 15, ntyp = 3
/
ATOMIC_SPECIES
Ge 72.64 Ge.upf
Se 78.96 Se.upf
I 126.90 I.upf
ATOMIC_POSITIONS crystal
Ge 0.600 0.463 0.826
Se 0.586 0.870 0.309
I 0.000 0.000 0.000
Ge 0.537 0.174 0.400
Se 0.309 0.586 0.870
Se 0.762 0.762 0.762
Se 0.870 0.309 0.586
Se 0.130 0.691 0.414
Ge 0.174 0.400 0.537
Se 0.691 0.414 0.130
Se 0.414 0.130 0.691
Ge 0.463 0.826 0.600
Ge 0.826 0.600 0.463
Ge 0.400 0.537 0.174
Se 0.238 0.238 0.238
CELL_PARAMETERS angstrom
7.730 -0.215 -0.222
-0.456 7.720 -0.222
-0.456 -0.471 7.709
```

Theoretical density: 4.3 g cm⁻³
Magnetic moment: 0.0 μB/f.u.
Total DFT energy (no corrections): -3.88 eV per atom
Raw formation energy: -0.07 eV/atom

magnetic moment of number 7 (Sc4GeI5)?
0.0 μB/f.u.